No. 1
Below is a relaxed Er4ThTl2 crystal, with properties calculated at the PBE level.

The structure in POSCAR format:
```
Er4ThTl2
1.0
2.571 1.484 10.037
-2.571 1.484 10.037
0.000 -2.968 10.037
Er Th Tl
4 1 2
Direct
0.115 0.115 0.115
0.291 0.291 0.291
0.709 0.709 0.709
0.885 0.885 0.885
0.500 0.500 0.500
0.396 0.396 0.396
0.604 0.604 0.604
```

Calculated values
**Fermi-level density of states**: 8.3 states/eV per cell
**Energy above the lowest structure with this stoichiometry**: 196 meV per atom
**DFT formation energy**: 168 meV per atom

No. 2
Below is a relaxed ErTh2Tl4 crystal, with properties calculated at the PBE level.

The structure in POSCAR format:
```
ErTh2Tl4
1.0
6.122 0.000 0.000
0.000 6.273 0.000
-2.963 0.000 10.504
Er Th Tl
2 4 8
Direct
0.204 0.250 0.182
0.796 0.750 0.818
0.311 0.750 0.425
0.385 0.750 0.015
0.615 0.250 0.985
0.689 0.250 0.575
0.047 0.250 0.875
0.131 0.250 0.450
0.326 0.505 0.717
0.326 0.995 0.717
0.674 0.005 0.283
0.674 0.495 0.283
0.869 0.750 0.550
0.953 0.750 0.125
```

Calculated values
**Fermi-level density of states**: 10.7 states/eV per cell
**DFT formation energy**: -86 meV per atom

No. 3
Below is a relaxed Er5ThTl3 crystal, with properties calculated at the PBE level.

The structure in POSCAR format:
```
Er5ThTl3
1.0
9.355 0.000 0.000
-4.678 8.102 0.000
0.000 0.000 6.657
Er Th Tl
10 2 6
Direct
0.000 0.324 0.250
0.000 0.676 0.750
0.324 0.000 0.250
0.324 0.324 0.750
0.333 0.667 0.000
0.333 0.667 0.500
0.667 0.333 0.000
0.667 0.333 0.500
0.676 0.000 0.750
0.676 0.676 0.250
0.000 0.000 0.000
0.000 0.000 0.500
0.000 0.346 0.750
0.000 0.654 0.250
0.346 0.000 0.750
0.346 0.346 0.250
0.654 0.000 0.250
0.654 0.654 0.750
```

Calculated values
**Fermi-level density of states**: 19.2 states/eV per cell
**DFT formation energy**: -229 meV per atom

No. 4
Below is a relaxed ErTh2Tl crystal, with properties calculated at the PBE level.

The structure in POSCAR format:
```
ErTh2Tl
1.0
1.764 1.019 11.541
-1.764 1.019 11.541
0.000 -2.037 11.541
Er Th Tl
1 2 1
Direct
0.000 0.000 0.000
0.418 0.418 0.418
0.581 0.581 0.581
0.166 0.166 0.166
```

Calculated values
**Fermi-level density of states**: 5.5 states/eV per cell
**Energy above the lowest structure with this stoichiometry**: 116 meV per atom
**DFT formation energy**: 21 meV per atom

No. 5
Below is a relaxed Er4ThTl5 crystal, with properties calculated at the PBE level.

The structure in POSCAR format:
```
Er4ThTl5
1.0
3.582 0.000 0.000
0.000 3.582 0.000
0.000 0.000 21.204
Er Th Tl
4 1 5
Direct
0.000 0.000 0.098
0.000 0.000 0.295
0.000 0.000 0.705
0.000 0.000 0.902
0.000 0.000 0.500
0.500 0.500 0.000
0.500 0.500 0.196
0.500 0.500 0.392
0.500 0.500 0.608
0.500 0.500 0.804
```

Calculated values
**Fermi-level density of states**: 8.0 states/eV per cell
**DFT formation energy**: -277 meV per atom

No. 6
Below is a relaxed Er4ThTl2 crystal, with properties calculated at the PBE level.

The structure in POSCAR format:
```
Er4ThTl2
1.0
4.385 -5.130 0.000
4.385 5.130 0.000
0.000 0.000 4.756
Er Th Tl
4 1 2
Direct
0.000 0.500 0.500
0.206 0.206 0.000
0.500 0.000 0.500
0.794 0.794 0.000
0.500 0.500 0.500
0.268 0.732 0.000
0.732 0.268 0.000
```

Calculated values
**Fermi-level density of states**: 9.6 states/eV per cell
**Energy above the lowest structure with this stoichiometry**: 0 meV per atom
**DFT formation energy**: -28 meV per atom

No. 7
Below is a relaxed ErTh2Tl3 crystal, with properties calculated at the PBE level.

The structure in POSCAR format:
```
ErTh2Tl3
1.0
5.058 -5.539 0.000
5.058 5.539 0.000
0.000 0.000 6.481
Er Th Tl
2 4 6
Direct
0.164 0.836 0.750
0.836 0.164 0.250
0.101 0.575 0.250
0.425 0.899 0.250
0.575 0.101 0.750
0.899 0.425 0.750
0.198 0.198 0.000
0.198 0.198 0.500
0.448 0.552 0.750
0.552 0.448 0.250
0.802 0.802 0.000
0.802 0.802 0.500
```

Calculated values
**Fermi-level density of states**: 12.6 states/eV per cell
**Energy above the lowest structure with this stoichiometry**: 197 meV per atom
**DFT formation energy**: -1 meV per atom

No. 8
Below is a relaxed ErTh2Tl crystal, with properties calculated at the PBE level.

The structure in POSCAR format:
```
ErTh2Tl
1.0
0.000 3.930 3.930
3.930 0.000 3.930
3.930 3.930 0.000
Er Th Tl
1 2 1
Direct
0.000 0.000 0.000
0.250 0.250 0.250
0.750 0.750 0.750
0.500 0.500 0.500
```

Calculated values
**Fermi-level density of states**: 5.6 states/eV per cell
**Energy above the lowest structure with this stoichiometry**: 206 meV per atom
**DFT formation energy**: 112 meV per atom

No. 9
Below is a relaxed Er2ThTl crystal, with properties calculated at the PBE level.

The structure in POSCAR format:
```
Er2ThTl
1.0
4.915 0.000 0.000
0.000 4.915 0.000
0.000 0.000 4.762
Er Th Tl
2 1 1
Direct
0.000 0.500 0.000
0.500 0.000 0.000
0.000 0.000 0.500
0.500 0.500 0.500
```

Calculated values
**Fermi-level density of states**: 5.4 states/eV per cell
**Energy above the lowest structure with this stoichiometry**: 74 meV per atom
**DFT formation energy**: -111 meV per atom

No. 10
Below is a relaxed Er2ThTl crystal, with properties calculated at the PBE level.

The structure in POSCAR format:
```
Er2ThTl
1.0
1.781 1.028 10.907
-1.781 1.028 10.907
0.000 -2.057 10.907
Er Th Tl
2 1 1
Direct
0.000 0.000 0.000
0.177 0.177 0.177
0.422 0.422 0.422
0.588 0.588 0.588
```

Calculated values
**Fermi-level density of states**: 6.3 states/eV per cell
**Energy above the lowest structure with this stoichiometry**: 101 meV per atom
**DFT formation energy**: -84 meV per atom

No. 11
Below is a relaxed Er2Th2Tl3 crystal, with properties calculated at the PBE level.

The structure in POSCAR format:
```
Er2Th2Tl3
1.0
2.328 -12.455 0.000
2.328 12.455 0.000
0.000 0.000 3.498
Er Th Tl
2 2 3
Direct
0.202 0.798 0.000
0.798 0.202 0.000
0.071 0.929 0.000
0.929 0.071 0.000
0.349 0.651 0.500
0.500 0.500 0.500
0.651 0.349 0.500
```

Calculated values
**Fermi-level density of states**: 6.4 states/eV per cell
**DFT formation energy**: -81 meV per atom

No. 12
Below is a relaxed Er2ThTl9 crystal, with properties calculated at the PBE level.

The structure in POSCAR format:
```
Er2ThTl9
1.0
4.774 0.000 0.000
0.000 4.774 0.000
0.000 0.000 14.310
Er Th Tl
2 1 9
Direct
0.000 0.000 0.166
0.000 0.000 0.834
0.000 0.000 0.500
0.000 0.500 0.000
0.000 0.500 0.328
0.000 0.500 0.672
0.500 0.000 0.000
0.500 0.000 0.328
0.500 0.000 0.672
0.500 0.500 0.164
0.500 0.500 0.500
0.500 0.500 0.836
```

Calculated values
**Fermi-level density of states**: 5.3 states/eV per cell
**DFT formation energy**: -180 meV per atom

No. 13
Below is a relaxed ErTh2Tl crystal, with properties calculated at the PBE level.

The structure in POSCAR format:
```
ErTh2Tl
1.0
4.810 0.000 0.000
0.000 4.810 0.000
0.000 0.000 5.107
Er Th Tl
1 2 1
Direct
0.000 0.000 0.000
0.000 0.500 0.500
0.500 0.000 0.500
0.500 0.500 0.000
```

Calculated values
**Fermi-level density of states**: 4.7 states/eV per cell
**Energy above the lowest structure with this stoichiometry**: 0 meV per atom
**DFT formation energy**: -94 meV per atom